# Ta2ReMo

An optimized crystal structure of Ta2ReMo (PBE, the Open Quantum Materials Database).

```
Ta2ReMo
1.0
4.5447 0.0000 0.0000
0.0000 4.5447 0.0000
0.0000 0.0000 3.2112
Ta Re Mo
2 1 1
direct
0.0000 0.5000 0.0000
0.5000 0.0000 0.0000
0.0000 0.0000 0.5000
0.5000 0.5000 0.5000
```

Values from the calculation:
Volume (Å³/cell): 66
Formation enthalpy at 0 K (meV per atom): -331
Calculated density (g/cm3): 16.1

# ZrCuPbAu

An optimized crystal structure of ZrCuPbAu (PBE, the Open Quantum Materials Database).

```
ZrCuPbAu
1.0
6.8724 0.0000 0.0000
0.0000 6.8724 0.0000
0.0000 0.0000 6.8724
Zr Cu Pb Au
4 4 4 4
direct
0.0000 0.0000 0.0000
0.0000 0.5000 0.5000
0.5000 0.0000 0.5000
0.5000 0.5000 0.0000
0.2500 0.2500 0.7500
0.2500 0.7500 0.2500
0.7500 0.2500 0.2500
0.7500 0.7500 0.7500
0.0000 0.0000 0.5000
0.0000 0.5000 0.0000
0.5000 0.0000 0.0000
0.5000 0.5000 0.5000
0.2500 0.2500 0.2500
0.2500 0.7500 0.7500
0.7500 0.2500 0.7500
0.7500 0.7500 0.2500
```

Values from the calculation:
Volume (Å³/cell): 325
Final energy (eV for the cell shown): -77.59
Calculated density (g/cm3): 11.4

# NaInOsW

An optimized crystal structure of NaInOsW (PBE, the Open Quantum Materials Database).

```
NaInOsW
1.0
6.4350 0.0000 0.0000
0.0000 6.4350 0.0000
0.0000 0.0000 6.4350
Na In Os W
4 4 4 4
direct
0.0000 0.0000 0.0000
0.0000 0.5000 0.5000
0.5000 0.0000 0.5000
0.5000 0.5000 0.0000
0.2500 0.2500 0.7500
0.2500 0.7500 0.2500
0.7500 0.2500 0.2500
0.7500 0.7500 0.7500
0.0000 0.0000 0.5000
0.0000 0.5000 0.0000
0.5000 0.0000 0.0000
0.5000 0.5000 0.5000
0.2500 0.2500 0.2500
0.2500 0.7500 0.7500
0.7500 0.2500 0.7500
0.7500 0.7500 0.2500
```

Values from the calculation:
Volume (Å³/cell): 266
Final energy (eV for the cell shown): -104.73
Calculated density (g/cm3): 12.8

# Na2Pd

An optimized crystal structure of Na2Pd (PBE, the Open Quantum Materials Database).

```
Na2Pd
1.0
6.6310 0.0000 0.0000
0.0000 6.6310 0.0000
0.0000 0.0000 6.6310
Na Pd
8 4
direct
0.2500 0.2500 0.2500
0.2500 0.2500 0.7500
0.2500 0.7500 0.2500
0.2500 0.7500 0.7500
0.7500 0.2500 0.2500
0.7500 0.2500 0.7500
0.7500 0.7500 0.2500
0.7500 0.7500 0.7500
0.0000 0.0000 0.0000
0.0000 0.5000 0.5000
0.5000 0.0000 0.5000
0.5000 0.5000 0.0000
```

Values from the calculation:
Volume (Å³/cell): 292
Final energy (eV for the cell shown): -30.19
Calculated density (g/cm3): 3.5